## Sm2Ho7Tc2 (PBE-GGA)

Data for Sm2Ho7Tc2 after structural relaxation.

magnetization	0.00	μB/f.u.
uncorrected energy	-61.36	eV for the cell shown
calculated volume	319.8	Å³/cell
SG	Imm2 (44)
energy of formation	0.078	eV/atom

a = 10.8372 Å, b = 10.8372 Å, c = 10.8372 Å
α = 161.14°, β = 55.09°, γ = 128.76°
With the nearest neighbours (Å) after each atom.
Atoms (fractional coordinates):
Sm  0.2446  0.0000  0.2446  8 Ho 3.43-3.82, 2 Sm 3.55
Sm  0.7554  0.0000  0.7554  8 Ho 3.43-3.82, 2 Sm 3.55
Ho  0.0953  0.5144  0.5809  3 Tc 2.83-3.03, 1 Ho 3.11
Ho  0.1652  0.3020  0.8633  1 Tc 2.74
Ho  0.4387  0.3020  0.1367  1 Tc 2.74
Ho  0.4603  0.9603  0.5000  3 Tc 2.83-2.89
Ho  0.5811  0.6941  0.8870  2 Tc 2.88
Ho  0.8072  0.6941  0.1130  2 Tc 2.88
Ho  0.9335  0.5144  0.4191  3 Tc 2.83-3.03, 1 Ho 3.11
Tc  0.2176  0.2176  0.0000  8 Ho 2.74-3.03
Tc  0.7622  0.2622  0.5000  7 Ho 2.83-2.88